No. 1
{"formula": "NaSrAu2", "functional": "GGA-PBE", "state": "relaxed", "de_polymorph_mev_per_atom": 0.0, "sg": "Fm-3m, No. 225", "e_form_mev_per_atom": -567, "dos_at_fermi_per_ev_fu": 1.2, "lattice": [[1.4685, -4.8146, -1.5244], [1.7040, -3.4791, 3.5572], [-2.9633, -4.1666, 1.2324]], "species": ["Sr", "Au", "Na", "Au"], "frac_coords": [[0.5000, 0.5000, 0.5000], [0.2500, 0.2500, 0.2500], [0.0000, 0.0000, 0.0000], [0.7500, 0.7500, 0.7500]]}


No. 2
{"formula": "Tb2PrPaSb4", "functional": "GGA-PBE", "state": "relaxed", "sg": "P2/m, No. 10", "dos_at_fermi_per_ev_fu": 6.8, "final_energy_ev_per_atom": -5.981, "lattice": [[-3.0776, 1.0811, -2.9916], [2.1737, -5.9360, -4.3813], [-5.4895, -2.2851, 4.8215]], "species": ["Sb", "Pr", "Tb", "Sb", "Sb", "Sb", "Tb", "Pa"], "frac_coords": [[0.5000, 0.2585, 0.2550], [0.0000, 0.0000, 0.0000], [0.0000, 0.5000, 0.5000], [0.0000, 0.7455, 0.2522], [0.5000, 0.7415, 0.7450], [0.0000, 0.2545, 0.7478], [0.5000, 0.0000, 0.5000], [0.5000, 0.5000, 0.0000]]}


No. 3
{"formula": "SmEr2TcO8", "functional": "GGA-PBE", "state": "relaxed", "sg": "Cmmm, No. 65", "final_energy_ev_per_atom": -7.954, "lattice": [[5.0392, -0.0153, -0.0030], [0.0162, 5.0353, -0.0055], [0.0042, 0.0076, 6.7713]], "species": ["O", "O", "O", "O", "Tc", "Er", "O", "O", "Er", "O", "O", "Sm"], "frac_coords": [[0.1846, 0.8150, 0.2042], [0.1845, 0.8150, 0.7958], [0.8154, 0.1850, 0.7958], [0.7314, 0.7317, 0.0000], [0.0000, 0.0000, 0.0000], [0.5000, 0.5000, 0.2512], [0.8155, 0.1850, 0.2042], [0.6859, 0.6867, 0.5000], [0.5000, 0.5000, 0.7488], [0.2686, 0.2683, 0.0000], [0.3141, 0.3133, 0.5000], [0.0000, 0.0000, 0.5000]]}


No. 4
{"formula": "TiAl2In2", "functional": "GGA-PBE", "state": "relaxed", "sg": "P4/mbm, No. 127", "e_form_mev_per_atom": 145, "dos_at_fermi_per_ev_fu": 3.5, "lattice": [[-1.8657, -6.8641, 0.8391], [3.8905, -1.7604, -5.7503], [3.1840, -0.5804, 2.3318]], "species": ["In", "Ti", "Ti", "In", "In", "Al", "Al", "Al", "Al", "In"], "frac_coords": [[0.8298, 0.3298, 0.5000], [0.5000, 0.5000, 0.0000], [0.0000, 0.0000, 0.0000], [0.1702, 0.6702, 0.5000], [0.3298, 0.1702, 0.5000], [0.8661, 0.6339, 0.0000], [0.6339, 0.1339, 0.0000], [0.3661, 0.8661, 0.0000], [0.1339, 0.3661, 0.0000], [0.6702, 0.8298, 0.5000]]}


No. 5
{"formula": "Pr4In16Ag3", "functional": "GGA-PBE", "state": "relaxed", "sg": "P4/mmm, No. 123", "e_form_mev_per_atom": -291, "dos_at_fermi_per_ev_fu": 6.4, "lattice": [[-3.8796, 0.2283, 5.7895], [1.6055, -6.6523, 1.3382], [9.7998, 3.6573, 6.4228]], "species": ["In", "In", "In", "In", "In", "In", "Pr", "In", "In", "In", "In", "In", "Ag", "In", "Ag", "In", "Pr", "In", "Pr", "Pr", "In", "Ag", "In"], "frac_coords": [[0.2576, 0.2576, 0.3749], [0.7424, 0.2576, 0.3749], [0.2576, 0.7424, 0.6251], [0.7168, 0.2832, 0.0000], [0.0000, 0.0000, 0.7722], [0.5000, 0.5000, 0.8024], [0.5000, 0.0000, 0.1892], [0.2832, 0.7168, 0.0000], [0.7424, 0.2576, 0.6251], [0.2576, 0.2576, 0.6251], [0.7168, 0.7168, 0.0000], [0.5000, 0.5000, 0.1976], [0.0000, 0.0000, 0.0000], [0.7424, 0.7424, 0.3749], [0.0000, 0.5000, 0.5000], [0.0000, 0.0000, 0.2278], [0.5000, 0.0000, 0.8108], [0.2832, 0.2832, 0.0000], [0.0000, 0.5000, 0.8108], [0.0000, 0.5000, 0.1892], [0.7424, 0.7424, 0.6251], [0.5000, 0.0000, 0.5000], [0.2576, 0.7424, 0.3749]]}


No. 6
{"formula": "AgSCl2", "functional": "GGA-PBE", "state": "relaxed", "de_polymorph_mev_per_atom": 752.4, "sg": "R-3m, No. 166", "dos_at_fermi_per_ev_fu": 4.1, "lattice": [[-3.3319, -0.7461, 8.5945], [-0.0479, -0.8009, 9.2131], [-1.6320, 2.1199, 8.8525]], "species": ["Cl", "Cl", "S", "Ag"], "frac_coords": [[0.0871, 0.0871, 0.0871], [0.9129, 0.9129, 0.9129], [0.5000, 0.5000, 0.5000], [0.0000, 0.0000, 0.0000]]}


Table of magnetic moment (μB/atom), in record order: 0.00; 0.11; 0.00; 0.00; 0.00; 0.13